1.
Computed, not measured: a relaxed structure of LiHg4Bi at the PBE level of DFT.

Cell lengths 3.2050, 3.2059, 14.5209 Å; angles 89.83, 90.00, 90.00 degrees
Fractional coordinates of all 6 atoms:
Li 0.5000 0.0000 0.5000
Hg 0.0000 0.4991 0.6297
Hg 0.0000 0.5009 0.3703
Hg 0.5000 0.0009 0.1950
Hg 0.5000 0.9991 0.8050
Bi 0.0000 0.5000 0.0000

Calculated values
V: 24.87 Å³/atom
crystal system: monoclinic
excess energy over the best structure of this formula in the dataset: 0.000 eV per formula unit
calculated formation energy: -0.07 eV per atom

***

2.
Computed, not measured: a relaxed structure of Zr2ZnN at the PBE level of DFT.

Cell lengths 6.4650, 6.4650, 5.7045 Å; angles 55.48, 55.48, 90.00 degrees
Fractional coordinates of all 8 atoms:
Zn 0.0000 0.0000 0.0000
Zn 0.7500 0.2500 0.5000
Zr 0.8750 0.7959 0.7500
Zr 0.5459 0.1250 0.2500
Zr 0.2041 0.6250 0.2500
Zr 0.3750 0.4541 0.7500
N 0.2500 0.7500 0.5000
N 0.5000 0.5000 0.0000

Calculated values
V: 17.83 Å³/atom
total DFT energy (no corrections): -57.759 eV per cell
crystal system: tetragonal

***

3.
Computed, not measured: a relaxed structure of Be3SbS at the PBE level of DFT.

Cell lengths 4.6642, 4.6642, 4.6642 Å; angles 90.00, 90.00, 90.00 degrees
Fractional coordinates of all 5 atoms:
Be 0.0000 0.5000 0.0000
Be 0.5000 0.0000 0.0000
Be 0.0000 0.0000 0.5000
Sb 0.0000 0.0000 0.0000
S 0.5000 0.5000 0.5000

Calculated values
V: 20.29 Å³/atom
crystal system: cubic
excess energy over the best structure of this formula in the dataset: 2.921 eV per formula unit